The following is a DFT calculation (GGA-PBE) of LaCoRh2 after structural relaxation.

Output
ΔE_f (kJ per mole of atoms): 3.1
ΔE to the lowest computed polymorph (meV/atom): 287
Space-group type: C2/m, No. 12

Cell lengths 5.406, 5.406, 2.982 Å; angles 104.30, 104.30, 116.91 degrees
Atoms (fractional coordinates):
1 La 0.000 0.000 0.000
2 Co 0.500 0.500 0.000
3 Rh 0.000 0.500 0.500
4 Rh 0.500 0.000 0.500



The following is a DFT calculation (GGA-PBE) of Zr2TcTeW after structural relaxation.

Output
Formation energy without anion corrections (eV/atom): 1.164
Space-group type: P4/mmm, No. 123

Cell lengths 4.963, 4.963, 4.933 Å; angles 90.00, 90.00, 90.00 degrees
Atoms (fractional coordinates):
1 Zr 0.000 0.500 0.000
2 Zr 0.500 0.000 0.000
3 Tc 0.000 0.000 0.000
4 Te 0.000 0.000 0.500
5 W 0.500 0.500 0.500